1.
DFT (PBEsol) results for a relaxed structure of ErB2C2.

Geometry as CIF:
```
data_ErB2C2
_cell_length_a 5.316
_cell_length_b 5.316
_cell_length_c 3.435
_cell_angle_alpha 90.00
_cell_angle_beta 90.00
_cell_angle_gamma 90.00
_symmetry_space_group_name_H-M 'P 1'
_symmetry_Int_Tables_number 1
loop_
_symmetry_equiv_pos_as_xyz
'x,y,z'
loop_
_atom_site_label
_atom_site_type_symbol
_atom_site_fract_x
_atom_site_fract_y
_atom_site_fract_z
Er1 Er 0.000 0.000 0.000
Er2 Er 0.500 0.500 0.000
B1 B 0.136 0.364 0.500
B2 B 0.364 0.864 0.500
B3 B 0.636 0.136 0.500
B4 B 0.864 0.636 0.500
C1 C 0.163 0.663 0.500
C2 C 0.337 0.163 0.500
C3 C 0.663 0.837 0.500
C4 C 0.837 0.337 0.500
```

Computed properties:
Space group = P4/mbm, No. 127
DFT formation energy = -500.9 meV/atom

---

2.
DFT (PBEsol) results for a relaxed structure of Ta2H.

Geometry as CIF:
```
data_Ta2H
_cell_length_a 3.366
_cell_length_b 4.736
_cell_length_c 4.748
_cell_angle_alpha 90.00
_cell_angle_beta 90.00
_cell_angle_gamma 90.00
_symmetry_space_group_name_H-M 'P 1'
_symmetry_Int_Tables_number 1
loop_
_symmetry_equiv_pos_as_xyz
'x,y,z'
loop_
_atom_site_label
_atom_site_type_symbol
_atom_site_fract_x
_atom_site_fract_y
_atom_site_fract_z
Ta1 Ta 0.250 0.250 0.236
Ta2 Ta 0.250 0.750 0.764
Ta3 Ta 0.750 0.250 0.764
Ta4 Ta 0.750 0.750 0.236
H1 H 0.000 0.500 0.500
H2 H 0.500 0.000 0.500
```

Computed properties:
Space group = C222, No. 21
E above lowest polymorph = 0.0 kJ/mol of atoms

---

3.
DFT (PBEsol) results for a relaxed structure of Cs3AgH.

Geometry as CIF:
```
data_Cs3AgH
_cell_length_a 5.865
_cell_length_b 5.865
_cell_length_c 5.865
_cell_angle_alpha 90.00
_cell_angle_beta 90.00
_cell_angle_gamma 90.00
_symmetry_space_group_name_H-M 'P 1'
_symmetry_Int_Tables_number 1
loop_
_symmetry_equiv_pos_as_xyz
'x,y,z'
loop_
_atom_site_label
_atom_site_type_symbol
_atom_site_fract_x
_atom_site_fract_y
_atom_site_fract_z
Cs1 Cs 0.000 0.000 0.500
Cs2 Cs 0.000 0.500 0.000
Cs3 Cs 0.500 0.000 0.000
Ag1 Ag 0.500 0.500 0.500
H1 H 0.000 0.000 0.000
```

Computed properties:
Space group = Pm-3m, No. 221
Uncorrected energy = -0.068 Ha/atom

---

The records above give, respectively, size of the total moment values of 0.00; 0.00; 0.00 μB/cell.